{"formula": "Zr2Se2S", "functional": "GGA-PBEsol", "state": "relaxed", "crystal_system": "tetragonal", "e_form_raw_mev_per_atom": -689, "sg": "No. 139", "lattice": [[4.274, 0.000, 0.000], [0.000, 4.274, 0.000], [-2.137, -2.137, 6.066]], "species": ["Se", "Se", "S", "Zr", "Zr"], "fractional_positions": [[0.250, 0.750, 0.500], [0.750, 0.250, 0.500], [0.000, 0.000, 0.000], [0.378, 0.378, 0.756], [0.622, 0.622, 0.244]]}